Material: Be2TeIrSe
Method: DFT, SCAN
State: PBEsol geometry

Cell lengths 4.049, 4.049, 5.439 Å; angles 90.00, 90.00, 90.00 degrees
Fractional coordinates of all 5 atoms:
Be  0.000  0.500  0.000
Be  0.500  0.000  0.000
Te  0.000  0.000  0.500
Ir  0.500  0.500  0.500
Se  0.000  0.000  0.000

## Properties
M_tot (μB per cell): 0.00
Calculated total energy (eV/atom): -26.329
Space-group type: P4/mmm, No. 123



Material: Tl2FeOs
Method: DFT, SCAN
State: PBEsol geometry

Cell lengths 3.055, 4.484, 5.232 Å; angles 90.00, 93.62, 90.00 degrees
Fractional coordinates of all 4 atoms:
Tl  0.235  0.000  0.252
Tl  0.765  0.000  0.748
Fe  0.000  0.500  0.500
Os  0.500  0.500  0.000

## Properties
M_tot (μB per cell): 2.83
Calculated formation energy (eV/atom): 0.987
Calculated total energy (eV/atom): -57.695
Space-group type: P2/m, No. 10



Material: K2CaMn
Method: DFT, SCAN
State: PBEsol geometry

Cell lengths 6.046, 6.046, 6.046 Å; angles 119.92, 119.92, 90.15 degrees
Fractional coordinates of all 4 atoms:
K  0.000  0.000  0.000
K  0.750  0.250  0.500
Ca  0.250  0.750  0.500
Mn  0.500  0.500  0.000

## Properties
M_tot (μB per cell): 4.92
Calculated formation energy (eV/atom): 0.461
Calculated total energy (eV/atom): -10.683
Space-group type: I-4m2, No. 119
Distance to the lowest polymorph of the same formula (eV per atom): 0.003



Material: Zr2PSe
Method: DFT, SCAN
State: PBEsol geometry

Cell lengths 6.680, 6.680, 6.680 Å; angles 32.51, 32.51, 32.51 degrees
Fractional coordinates of all 4 atoms:
Zr  0.236  0.236  0.236
Zr  0.764  0.764  0.764
P  0.500  0.500  0.500
Se  0.000  0.000  0.000

## Properties
M_tot (μB per cell): 0.00
Calculated total energy (eV/atom): -24.445
Space-group type: R-3m, No. 166
Distance to the lowest polymorph of the same formula (eV per atom): 0.000



Number 1: Fermi-level density of states 2.5 states/eV per cell. Number 2: Fermi-level density of states 2.6 states/eV per cell. Number 3: Fermi-level density of states 4.0 states/eV per cell. Number 4: Fermi-level density of states 1.7 states/eV per cell.